Entry from Alexandria: a geometry-optimized CsLiLa2Se4 structure (GGA-PBE).

a b c (Å): 4.4509 7.8350 15.1953
angles (deg): 90.00 90.00 106.50
Closest atoms and distances in Å follow each position.
Atoms (fractional coordinates):
Li 0.1687 0.3373 0.2500  4 Se 2.56
Li 0.8313 0.6627 0.7500  4 Se 2.56
Se 0.2579 0.5157 0.3935  1 Li 2.56
Se 0.4157 0.8313 0.7500  2 Li 2.56
Se 0.0000 0.0000 0.5000  4 La 3.13
Se 0.7421 0.4843 0.8935  1 Li 2.56
Se 0.5843 0.1687 0.2500  2 Li 2.56
Se 0.0000 0.0000 0.0000  4 La 3.13
Se 0.7421 0.4843 0.6065  1 Li 2.56
Se 0.2579 0.5157 0.1065  1 Li 2.56
La 0.6337 0.2675 0.4406  6 Se 2.99-3.13
La 0.6337 0.2675 0.0594  6 Se 2.99-3.13
La 0.3663 0.7325 0.5594  6 Se 2.99-3.13
La 0.3663 0.7325 0.9406  6 Se 2.99-3.13
Cs 0.1057 0.2114 0.7500  6 Se 3.62-3.73
Cs 0.8943 0.7886 0.2500  6 Se 3.62-3.73

The size of the total moment comes out at 0.0 Bohr magnetons per cell. The value obtained for the density of states at the Fermi level is 0.000 states/eV/atom. The symmetry is Cmcm (63). The uncorrected formation energy comes out at -1.798 eV per atom.